# PBE K6InAu4, optimized geometry
# space-group type = P6_3mc (186)
# calculated density = 4.542 g/cm³
# DOS(E_F) = 8.4 states/eV/f.u.
data_K6InAu4
_chemical_formula_sum 'K12 In2 Au8'
_cell_length_a 10.965
_cell_length_b 10.965
_cell_length_c 7.987
_cell_angle_alpha 90.00
_cell_angle_beta 90.00
_cell_angle_gamma 120.00
_symmetry_space_group_name_H-M 'P 1'
_symmetry_Int_Tables_number 1
loop_
_symmetry_equiv_pos_as_xyz
'x,y,z'
loop_
_atom_site_label
_atom_site_type_symbol
_atom_site_fract_x
_atom_site_fract_y
_atom_site_fract_z
K1 K 0.056 0.528 0.000
K2 K 0.137 0.273 0.321
K3 K 0.137 0.863 0.321
K4 K 0.273 0.137 0.821
K5 K 0.472 0.528 0.000
K6 K 0.472 0.944 0.000
K7 K 0.528 0.056 0.500
K8 K 0.528 0.472 0.500
K9 K 0.727 0.863 0.321
K10 K 0.863 0.137 0.821
K11 K 0.863 0.727 0.821
K12 K 0.944 0.472 0.500
In1 In 0.333 0.667 0.629
In2 In 0.667 0.333 0.129
Au1 Au 0.191 0.382 0.724
Au2 Au 0.191 0.809 0.724
Au3 Au 0.333 0.667 0.281
Au4 Au 0.382 0.191 0.224
Au5 Au 0.618 0.809 0.724
Au6 Au 0.667 0.333 0.781
Au7 Au 0.809 0.191 0.224
Au8 Au 0.809 0.618 0.224

=====

# PBE KIn2Au6, optimized geometry
# space-group type = Fd-3m (227)
# calculated density = 9.904 g/cm³
# DOS(E_F) = 3.1 states/eV/f.u.
data_KIn2Au6
_chemical_formula_sum 'K2 In4 Au12'
_cell_length_a 8.827
_cell_length_b 8.827
_cell_length_c 8.827
_cell_angle_alpha 60.00
_cell_angle_beta 60.00
_cell_angle_gamma 60.00
_symmetry_space_group_name_H-M 'P 1'
_symmetry_Int_Tables_number 1
loop_
_symmetry_equiv_pos_as_xyz
'x,y,z'
loop_
_atom_site_label
_atom_site_type_symbol
_atom_site_fract_x
_atom_site_fract_y
_atom_site_fract_z
K1 K 0.125 0.125 0.125
K2 K 0.875 0.875 0.875
In1 In 0.000 0.500 0.500
In2 In 0.500 0.000 0.500
In3 In 0.500 0.500 0.000
In4 In 0.500 0.500 0.500
Au1 Au 0.125 0.125 0.625
Au2 Au 0.125 0.625 0.125
Au3 Au 0.125 0.625 0.625
Au4 Au 0.375 0.375 0.875
Au5 Au 0.375 0.875 0.375
Au6 Au 0.375 0.875 0.875
Au7 Au 0.625 0.125 0.125
Au8 Au 0.625 0.125 0.625
Au9 Au 0.625 0.625 0.125
Au10 Au 0.875 0.375 0.375
Au11 Au 0.875 0.375 0.875
Au12 Au 0.875 0.875 0.375

=====

# PBE KIn2Au, optimized geometry
# space-group type = Pm (6)
# calculated density = 6.660 g/cm³
# DOS(E_F) = 1.3 states/eV/f.u.
data_KIn2Au
_chemical_formula_sum 'K1 In2 Au1'
_cell_length_a 3.474
_cell_length_b 4.896
_cell_length_c 7.038
_cell_angle_alpha 90.00
_cell_angle_beta 104.05
_cell_angle_gamma 90.00
_symmetry_space_group_name_H-M 'P 1'
_symmetry_Int_Tables_number 1
loop_
_symmetry_equiv_pos_as_xyz
'x,y,z'
loop_
_atom_site_label
_atom_site_type_symbol
_atom_site_fract_x
_atom_site_fract_y
_atom_site_fract_z
K1 K 0.000 0.000 0.000
In1 In 0.320 0.500 0.652
In2 In 0.730 0.000 0.473
Au1 Au 0.632 0.500 0.266

=====

# PBE K2InAu2, optimized geometry
# space-group type = I4/mmm (139)
# calculated density = 5.892 g/cm³
# DOS(E_F) = 3.6 states/eV/f.u.
data_K2InAu2
_chemical_formula_sum 'K2 In1 Au2'
_cell_length_a 7.824
_cell_length_b 7.824
_cell_length_c 7.824
_cell_angle_alpha 143.89
_cell_angle_beta 143.89
_cell_angle_gamma 51.99
_symmetry_space_group_name_H-M 'P 1'
_symmetry_Int_Tables_number 1
loop_
_symmetry_equiv_pos_as_xyz
'x,y,z'
loop_
_atom_site_label
_atom_site_type_symbol
_atom_site_fract_x
_atom_site_fract_y
_atom_site_fract_z
K1 K 0.250 0.750 0.500
K2 K 0.750 0.250 0.500
In1 In 0.000 0.000 0.000
Au1 Au 0.404 0.404 0.000
Au2 Au 0.596 0.596 0.000

=====

# PBE KInAu, optimized geometry
# space-group type = P-6m2 (187)
# calculated density = 6.002 g/cm³
# DOS(E_F) = 2.2 states/eV/f.u.
data_KInAu
_chemical_formula_sum 'K1 In1 Au1'
_cell_length_a 4.787
_cell_length_b 4.787
_cell_length_c 4.891
_cell_angle_alpha 90.00
_cell_angle_beta 90.00
_cell_angle_gamma 120.00
_symmetry_space_group_name_H-M 'P 1'
_symmetry_Int_Tables_number 1
loop_
_symmetry_equiv_pos_as_xyz
'x,y,z'
loop_
_atom_site_label
_atom_site_type_symbol
_atom_site_fract_x
_atom_site_fract_y
_atom_site_fract_z
K1 K 0.000 0.000 0.000
In1 In 0.333 0.667 0.500
Au1 Au 0.667 0.333 0.500

=====

# PBE K2In12Au7, optimized geometry
# space-group type = P-6 (174)
# calculated density = 9.037 g/cm³
# DOS(E_F) = 5.7 states/eV/f.u.
data_K2In12Au7
_chemical_formula_sum 'K2 In12 Au7'
_cell_length_a 11.638
_cell_length_b 11.638
_cell_length_c 4.441
_cell_angle_alpha 90.00
_cell_angle_beta 90.00
_cell_angle_gamma 120.00
_symmetry_space_group_name_H-M 'P 1'
_symmetry_Int_Tables_number 1
loop_
_symmetry_equiv_pos_as_xyz
'x,y,z'
loop_
_atom_site_label
_atom_site_type_symbol
_atom_site_fract_x
_atom_site_fract_y
_atom_site_fract_z
K1 K 0.000 0.000 0.000
K2 K 0.333 0.667 0.500
In1 In 0.042 0.272 0.500
In2 In 0.114 0.713 0.000
In3 In 0.230 0.958 0.500
In4 In 0.287 0.401 0.000
In5 In 0.387 0.184 0.000
In6 In 0.544 0.433 0.500
In7 In 0.567 0.111 0.500
In8 In 0.599 0.886 0.000
In9 In 0.728 0.770 0.500
In10 In 0.798 0.613 0.000
In11 In 0.816 0.202 0.000
In12 In 0.889 0.456 0.500
Au1 Au 0.068 0.450 0.000
Au2 Au 0.257 0.225 0.500
Au3 Au 0.383 0.932 0.000
Au4 Au 0.550 0.617 0.000
Au5 Au 0.667 0.333 0.000
Au6 Au 0.775 0.031 0.500
Au7 Au 0.969 0.743 0.500

=====

# PBE KInAu3, optimized geometry
# space-group type = Pm-3m (221)
# calculated density = 8.108 g/cm³
# DOS(E_F) = 1.3 states/eV/f.u.
data_KInAu3
_chemical_formula_sum 'K1 In1 Au3'
_cell_length_a 5.343
_cell_length_b 5.343
_cell_length_c 5.343
_cell_angle_alpha 90.00
_cell_angle_beta 90.00
_cell_angle_gamma 90.00
_symmetry_space_group_name_H-M 'P 1'
_symmetry_Int_Tables_number 1
loop_
_symmetry_equiv_pos_as_xyz
'x,y,z'
loop_
_atom_site_label
_atom_site_type_symbol
_atom_site_fract_x
_atom_site_fract_y
_atom_site_fract_z
K1 K 0.000 0.000 0.000
In1 In 0.500 0.500 0.500
Au1 Au 0.000 0.500 0.500
Au2 Au 0.500 0.000 0.500
Au3 Au 0.500 0.500 0.000

=====

# PBE KIn2Au, optimized geometry
# space-group type = Fm-3m (225)
# calculated density = 7.612 g/cm³
# DOS(E_F) = 1.5 states/eV/f.u.
data_KIn2Au
_chemical_formula_sum 'K1 In2 Au1'
_cell_length_a 5.238
_cell_length_b 5.238
_cell_length_c 5.238
_cell_angle_alpha 60.00
_cell_angle_beta 60.00
_cell_angle_gamma 60.00
_symmetry_space_group_name_H-M 'P 1'
_symmetry_Int_Tables_number 1
loop_
_symmetry_equiv_pos_as_xyz
'x,y,z'
loop_
_atom_site_label
_atom_site_type_symbol
_atom_site_fract_x
_atom_site_fract_y
_atom_site_fract_z
K1 K 0.000 0.000 0.000
In1 In 0.250 0.250 0.250
In2 In 0.750 0.750 0.750
Au1 Au 0.500 0.500 0.500

=====

# PBE K3In2Au7, optimized geometry
# space-group type = R-3m (166)
# calculated density = 9.954 g/cm³
# DOS(E_F) = 3.1 states/eV/f.u.
data_K3In2Au7
_chemical_formula_sum 'K3 In2 Au7'
_cell_length_a 9.961
_cell_length_b 9.961
_cell_length_c 9.961
_cell_angle_alpha 34.84
_cell_angle_beta 34.84
_cell_angle_gamma 34.84
_symmetry_space_group_name_H-M 'P 1'
_symmetry_Int_Tables_number 1
loop_
_symmetry_equiv_pos_as_xyz
'x,y,z'
loop_
_atom_site_label
_atom_site_type_symbol
_atom_site_fract_x
_atom_site_fract_y
_atom_site_fract_z
K1 K 0.000 0.000 0.000
K2 K 0.143 0.143 0.143
K3 K 0.857 0.857 0.857
In1 In 0.331 0.331 0.331
In2 In 0.669 0.669 0.669
Au1 Au 0.085 0.581 0.581
Au2 Au 0.419 0.419 0.915
Au3 Au 0.419 0.915 0.419
Au4 Au 0.500 0.500 0.500
Au5 Au 0.581 0.085 0.581
Au6 Au 0.581 0.581 0.085
Au7 Au 0.915 0.419 0.419

=====

# PBE K2InAu2, optimized geometry
# space-group type = P4/mbm (127)
# calculated density = 6.548 g/cm³
# DOS(E_F) = 1.8 states/eV/f.u.
data_K2InAu2
_chemical_formula_sum 'K4 In2 Au4'
_cell_length_a 7.586
_cell_length_b 7.586
_cell_length_c 5.174
_cell_angle_alpha 90.00
_cell_angle_beta 90.00
_cell_angle_gamma 90.00
_symmetry_space_group_name_H-M 'P 1'
_symmetry_Int_Tables_number 1
loop_
_symmetry_equiv_pos_as_xyz
'x,y,z'
loop_
_atom_site_label
_atom_site_type_symbol
_atom_site_fract_x
_atom_site_fract_y
_atom_site_fract_z
K1 K 0.169 0.331 0.000
K2 K 0.331 0.831 0.000
K3 K 0.669 0.169 0.000
K4 K 0.831 0.669 0.000
In1 In 0.000 0.000 0.500
In2 In 0.500 0.500 0.500
Au1 Au 0.135 0.635 0.500
Au2 Au 0.365 0.135 0.500
Au3 Au 0.635 0.865 0.500
Au4 Au 0.865 0.365 0.500

=====

ΔH_f (0 K) in eV per atom, matching the order above: -0.2480, 0.1150, -0.1048, 0.0446, -0.2275, -0.2430, -0.0587, -0.0291, -0.2609, -0.2579